Computed, not measured: a relaxed structure of AgRh3O at the GGA-PBE level of DFT.

Values from the calculation:
The value obtained for the spin magnetization is 0.00 Bohr magnetons per cell. Its formation energy (no corrections) is 226 meV/atom. The value obtained for the energy above the most stable polymorph in this dataset is 0.0 meV/atom. Its space group is No. 221.

Structure (POSCAR):
```
AgRh3O
1.0
4.141 0.000 0.000
0.000 4.141 0.000
0.000 0.000 4.141
Ag Rh O
1 3 1
direct
0.000 0.000 0.000 Ag
0.000 0.500 0.500 Rh
0.500 0.000 0.500 Rh
0.500 0.500 0.000 Rh
0.500 0.500 0.500 O
```